Run P
Compound: KTiNb3
Source: the Alexandria database
Functional: GGA-PBE
Structure: optimized geometry

POSCAR file:
```
KTiNb3
1.0
4.937 0.000 0.000
0.000 4.937 0.000
0.000 0.000 4.937
K Ti Nb
1 1 3
Direct
0.000 0.000 0.000 K
0.500 0.500 0.500 Ti
0.000 0.500 0.500 Nb
0.500 0.000 0.500 Nb
0.500 0.500 0.000 Nb
```

=====

Run Q
Compound: KTiNb3
Source: the Alexandria database
Functional: GGA-PBE
Structure: optimized geometry

POSCAR file:
```
KTiNb3
1.0
4.648 0.000 0.000
0.000 4.648 0.000
0.000 0.000 4.648
K Ti Nb
1 1 3
Direct
0.000 0.000 0.000 K
0.500 0.500 0.500 Ti
0.000 0.000 0.500 Nb
0.000 0.500 0.000 Nb
0.500 0.000 0.000 Nb
```

=====

Of the structures shown above, run P is the most stable.